Below is a geometry-optimized Ca2Cu3As4Pd structure, with properties calculated at the PBE level.

Calculated values
* DOS(E_F): 0.400 states/eV/atom
* DFT formation energy: -0.5499 eV per atom
* volume: 185 Å³/cell

The structure in CIF format:
```
data_Ca2Cu3As4Pd
_chemical_formula_sum 'Ca2 Cu3 As4 Pd1'
_symmetry_space_group_name_H-M 'P -4 m 2'
_symmetry_Int_Tables_number 115
_symmetry_space_group_name_Hall 'P -4 -2'
_cell_length_a 4.284
_cell_length_b 4.284
_cell_length_c 10.084
_cell_angle_alpha 90.00
_cell_angle_beta 90.00
_cell_angle_gamma 90.00
loop_
_atom_site_label
_atom_site_type_symbol
_atom_site_fract_x
_atom_site_fract_y
_atom_site_fract_z
Ca1 Ca 0.000 0.500 0.248
Cu1 Cu 0.000 0.000 0.000
Cu2 Cu 0.000 0.500 0.628
As1 As 0.000 0.000 0.500
As2 As 0.000 0.500 0.863
As3 As 0.500 0.500 0.500
Pd1 Pd 0.500 0.500 0.000
```